# 1
## CaCe3Zn4 (PBE)

Data for a geometry-optimized CaCe3Zn4 structure.

Calculated values
- DFT total energy (eV per atom) = -3.3004
- size of the total moment (Bohr magnetons per cell) = 6.27
- E_form (eV per atom) = -0.19

Unit cell a=5.147 b=7.277 c=10.292 alpha=90.00 beta=90.00 gamma=90.00
Last column: magnetic moment on the atom in μB.
Element x y z (fractional)
Ce: 0.000 0.000 0.500  0.74
Ce: 0.500 0.000 0.750  0.82
Ce: 0.500 0.500 0.250  0.78
Ce: 0.000 0.000 0.000  0.74
Ce: 0.500 0.500 0.750  0.78
Ce: 0.500 0.000 0.250  0.82
Zn: 0.000 0.748 0.750  0.01
Zn: 0.000 0.252 0.750  0.01
Zn: 0.000 0.748 0.250  0.01
Zn: 0.000 0.252 0.250  0.01
Zn: 0.500 0.748 0.000  0.01
Zn: 0.500 0.252 0.500  0.01
Zn: 0.500 0.252 0.000  0.01
Zn: 0.500 0.748 0.500  0.01
Ca: 0.000 0.500 0.000  0.00
Ca: 0.000 0.500 0.500  0.00

# 2
## CaCe2Zr (PBE)

Data for a geometry-optimized CaCe2Zr structure.

Calculated values
- DFT total energy (eV per atom) = -5.3506
- size of the total moment (Bohr magnetons per cell) = 1.42
- E_form (eV per atom) = 0.25

Unit cell a=3.319 b=3.319 c=12.395 alpha=82.31 beta=82.31 gamma=60.00
Last column: magnetic moment on the atom in μB.
Element x y z (fractional)
Ce: 0.908 0.908 0.277  0.58
Ce: 0.092 0.092 0.723  0.58
Zr: 0.500 0.500 0.500  -0.01
Ca: 0.000 0.000 0.000  -0.01

# 3
## Ca2Cl (PBE)

Data for a geometry-optimized Ca2Cl structure.

Calculated values
- DFT total energy (eV per atom) = -2.7395
- raw formation energy (eV/atom) = -0.7895
- size of the total moment (Bohr magnetons per cell) = 0.00
- distance to the lowest polymorph of the same formula (meV/atom) = 256

Unit cell a=14.969 b=14.969 c=14.969 alpha=166.33 beta=166.33 gamma=19.38
Element x y z (fractional)
Ca: 0.073 0.073 0.000
Ca: 0.677 0.177 0.500
Ca: 0.927 0.927 0.000
Ca: 0.823 0.323 0.500
Cl: 0.250 0.750 0.500
Cl: 0.500 0.500 0.000